Compound: Ba2Au2S
Source: the Alexandria database
Functional: PBE-GGA
Structure: optimized geometry

Calculated values
As for the theoretical density: 7.5 g cm⁻³. For the total energy, the calculation gives -3.739 eV/atom. Its total magnetization is 0.0 μB per formula unit. As for the uncorrected formation energy: -0.833 eV/atom. For the volume, the calculation gives 31.13 A^3/atom. The excess energy over the best structure of this formula in the dataset comes out at 0 meV per atom. Its crystal system is tetragonal.

Cell: 8.582 8.582 4.226 Å, 90.00 90.00 90.00°
Positions (direct):
1 S 0.000 0.000 0.000
2 S 0.500 0.500 0.000
3 Au 0.386 0.886 0.000
4 Au 0.886 0.614 0.000
5 Au 0.614 0.114 0.000
6 Au 0.114 0.386 0.000
7 Ba 0.188 0.688 0.500
8 Ba 0.688 0.812 0.500
9 Ba 0.812 0.312 0.500
10 Ba 0.312 0.188 0.500